# 1
A relaxed structure of Ca2AcNi9. Source: the Alexandria database, functional PBE.

Cell lengths 5.088, 5.088, 8.657 Å; angles 72.91, 72.91, 60.00 degrees
Sites, in units of the cell vectors:
Ni 0.419 0.915 0.246
Ni 0.085 0.581 0.754
Ni 0.419 0.419 0.246
Ni 0.668 0.668 0.997
Ni 0.915 0.419 0.246
Ni 0.332 0.332 0.003
Ni 0.581 0.085 0.754
Ni 0.500 0.500 0.500
Ni 0.581 0.581 0.754
Ac 0.000 0.000 0.000
Ca 0.857 0.857 0.428
Ca 0.143 0.143 0.572

Calculated values
As for the volume: 182.5 Å³ per cell. For the total energy, the calculation gives -62.53 eV for the cell shown.


# 2
A relaxed structure of ZnInAu2. Source: the Alexandria database, functional PBE.

Cell lengths 3.658, 3.672, 5.650 Å; angles 90.00, 90.00, 90.00 degrees
Sites, in units of the cell vectors:
Zn 0.500 0.500 0.784
Au 0.500 0.500 0.267
Au 0.000 0.000 0.967
In 0.000 0.000 0.481

Calculated values
As for the volume: 75.9 Å³ per cell. For the total energy, the calculation gives -11.17 eV for the cell shown.


# 3
A relaxed structure of Tb2Pm4Th. Source: the Alexandria database, functional PBE.

Cell lengths 6.762, 9.081, 9.081 Å; angles 79.55, 68.14, 68.14 degrees
Sites, in units of the cell vectors:
Tb 0.278 0.972 0.472
Tb 0.500 0.500 0.500
Tb 0.500 0.000 0.000
Tb 0.722 0.028 0.528
Pm 0.764 0.762 0.262
Pm 0.236 0.238 0.738
Pm 0.787 0.238 0.738
Pm 0.151 0.845 0.852
Pm 0.849 0.155 0.148
Pm 0.151 0.352 0.345
Pm 0.213 0.762 0.262
Pm 0.849 0.648 0.655
Th 0.000 0.500 0.000
Th 0.500 0.500 0.000

Calculated values
The value obtained for the excess energy over the best structure of this formula in the dataset is 260 meV per atom. As for the volume: 479.8 Å³ per cell. For the total energy, the calculation gives -67.26 eV for the cell shown.


# 4
A relaxed structure of PrHoCuAg. Source: the Alexandria database, functional PBE.

Cell lengths 3.583, 3.583, 7.387 Å; angles 90.00, 90.00, 90.00 degrees
Sites, in units of the cell vectors:
Ho 0.000 0.000 0.371
Ag 0.500 0.500 0.132
Pr 0.000 0.000 0.844
Cu 0.500 0.500 0.582

Calculated values
The value obtained for the excess energy over the best structure of this formula in the dataset is 0 meV per atom. As for the volume: 94.8 Å³ per cell. For the total energy, the calculation gives -17.27 eV for the cell shown.


# 5
A relaxed structure of TmSc2Cd. Source: the Alexandria database, functional PBE.

Cell lengths 5.168, 5.168, 5.168 Å; angles 60.00, 60.00, 60.00 degrees
Sites, in units of the cell vectors:
Cd 0.500 0.500 0.500
Tm 0.000 0.000 0.000
Sc 0.250 0.250 0.250
Sc 0.750 0.750 0.750

Calculated values
The value obtained for the excess energy over the best structure of this formula in the dataset is 136 meV per atom. As for the volume: 97.6 Å³ per cell. For the total energy, the calculation gives -18.03 eV for the cell shown.


# 6
A relaxed structure of As5C4. Source: the Alexandria database, functional PBE.

Cell lengths 6.429, 6.429, 6.592 Å; angles 90.00, 90.00, 120.00 degrees
Sites, in units of the cell vectors:
As 0.255 0.255 0.250
As 0.000 0.745 0.250
As 0.667 0.333 0.500
As 0.333 0.667 0.500
As 0.255 0.000 0.750
As 0.333 0.667 0.000
As 0.000 0.255 0.750
As 0.667 0.333 0.000
As 0.745 0.745 0.750
As 0.745 0.000 0.250
C 0.579 0.000 0.750
C 0.000 0.000 0.500
C 0.000 0.421 0.250
C 0.421 0.421 0.750
C 0.421 0.000 0.250
C 0.000 0.579 0.750
C 0.579 0.579 0.250
C 0.000 0.000 0.000

Calculated values
As for the volume: 236.0 Å³ per cell. For the total energy, the calculation gives -87.96 eV for the cell shown.


# 7
A relaxed structure of Li3Si3Pt2. Source: the Alexandria database, functional PBE.

Cell lengths 5.168, 7.391, 13.906 Å; angles 90.00, 90.00, 90.00 degrees
Sites, in units of the cell vectors:
Li 0.869 0.808 0.250
Li 0.596 0.042 0.614
Li 0.631 0.308 0.250
Li 0.904 0.542 0.614
Li 0.904 0.542 0.886
Li 0.096 0.458 0.114
Li 0.131 0.192 0.750
Li 0.404 0.958 0.386
Li 0.369 0.692 0.750
Li 0.596 0.042 0.886
Li 0.404 0.958 0.114
Li 0.096 0.458 0.386
Si 0.105 0.195 0.957
Si 0.895 0.805 0.457
Si 0.395 0.695 0.957
Si 0.605 0.305 0.043
Si 0.895 0.805 0.043
Si 0.105 0.195 0.543
Si 0.395 0.695 0.543
Si 0.605 0.305 0.457
Si 0.139 0.147 0.250
Si 0.639 0.353 0.750
Si 0.361 0.647 0.250
Si 0.861 0.853 0.750
Pt 0.908 0.101 0.394
Pt 0.592 0.601 0.106
Pt 0.592 0.601 0.394
Pt 0.408 0.399 0.894
Pt 0.092 0.899 0.894
Pt 0.092 0.899 0.606
Pt 0.908 0.101 0.106
Pt 0.408 0.399 0.606

Calculated values
As for the volume: 531.2 Å³ per cell. For the total energy, the calculation gives -153.15 eV for the cell shown. The energy relative to the elements, uncorrected comes out at -0.5245 eV/atom.


# 8
A relaxed structure of CaInAs3. Source: the Alexandria database, functional PBE.

Cell lengths 5.386, 5.386, 5.386 Å; angles 90.00, 90.00, 90.00 degrees
Sites, in units of the cell vectors:
As 0.000 0.500 0.000
As 0.000 0.000 0.500
As 0.500 0.000 0.000
In 0.500 0.500 0.500
Ca 0.000 0.000 0.000

Calculated values
The value obtained for the excess energy over the best structure of this formula in the dataset is 299 meV per atom. As for the volume: 156.3 Å³ per cell. For the total energy, the calculation gives -15.85 eV for the cell shown.


# 9
A relaxed structure of ScFeMo2. Source: the Alexandria database, functional PBE.

Cell lengths 2.728, 2.728, 8.832 Å; angles 90.00, 90.00, 105.53 degrees
Sites, in units of the cell vectors:
Mo 0.000 0.000 0.525
Mo 0.000 0.000 0.975
Sc 0.500 0.500 0.250
Fe 0.500 0.500 0.750

Calculated values
The value obtained for the excess energy over the best structure of this formula in the dataset is 124 meV per atom. As for the volume: 63.3 Å³ per cell. For the total energy, the calculation gives -35.70 eV for the cell shown.


# 10
A relaxed structure of Dy2YSb. Source: the Alexandria database, functional PBE.

Cell lengths 4.138, 6.429, 9.561 Å; angles 90.00, 90.00, 108.78 degrees
Sites, in units of the cell vectors:
Sb 0.759 0.518 0.750
Sb 0.241 0.482 0.250
Dy 0.363 0.727 0.547
Dy 0.363 0.727 0.953
Dy 0.637 0.273 0.047
Dy 0.637 0.273 0.453
Y 0.940 0.880 0.250
Y 0.060 0.120 0.750

Calculated values
The value obtained for the excess energy over the best structure of this formula in the dataset is 0 meV per atom. As for the volume: 240.8 Å³ per cell. For the total energy, the calculation gives -44.11 eV for the cell shown. The energy relative to the elements, uncorrected comes out at -0.5666 eV/atom.


# 11
A relaxed structure of AlCuI2O. Source: the Alexandria database, functional PBE.

Cell lengths 5.700, 5.700, 3.469 Å; angles 90.00, 90.00, 90.00 degrees
Sites, in units of the cell vectors:
I 0.000 0.500 0.000
I 0.500 0.000 0.000
O 0.000 0.000 0.500
Al 0.000 0.000 0.000
Cu 0.500 0.500 0.500

Calculated values
The value obtained for the excess energy over the best structure of this formula in the dataset is 0 meV per atom. As for the volume: 112.7 Å³ per cell. For the total energy, the calculation gives -18.63 eV for the cell shown. The energy relative to the elements, uncorrected comes out at -0.5462 eV/atom.


# 12
A relaxed structure of RbCd2Hg5. Source: the Alexandria database, functional PBE.

Cell lengths 4.730, 7.825, 7.825 Å; angles 63.18, 72.41, 72.41 degrees
Sites, in units of the cell vectors:
Cd 0.758 0.742 0.742
Cd 0.242 0.258 0.258
Hg 0.000 0.500 0.500
Hg 0.368 0.435 0.828
Hg 0.632 0.172 0.565
Hg 0.368 0.828 0.435
Hg 0.632 0.565 0.172
Rb 0.000 0.000 0.000

Calculated values
As for the volume: 241.6 Å³ per cell. For the total energy, the calculation gives -5.03 eV for the cell shown.


# 13
A relaxed structure of Cs3TlAg2I9. Source: the Alexandria database, functional PBE.

Cell lengths 8.467, 8.467, 10.433 Å; angles 90.00, 90.00, 120.00 degrees
Sites, in units of the cell vectors:
I 0.343 0.172 0.673
I 0.828 0.657 0.673
I 0.500 0.500 0.000
I 0.500 0.000 0.000
I 0.828 0.172 0.673
I 0.657 0.828 0.327
I 0.000 0.500 0.000
I 0.172 0.343 0.327
I 0.172 0.828 0.327
Ag 0.667 0.333 0.843
Ag 0.333 0.667 0.157
Tl 0.000 0.000 0.500
Cs 0.333 0.667 0.672
Cs 0.000 0.000 0.000
Cs 0.667 0.333 0.328

Calculated values
As for the volume: 647.8 Å³ per cell. For the total energy, the calculation gives -35.76 eV for the cell shown. The energy relative to the elements, uncorrected comes out at -0.7452 eV/atom.


# 14
A relaxed structure of Tb2TmMg2. Source: the Alexandria database, functional PBE.

Cell lengths 3.730, 5.402, 14.028 Å; angles 90.00, 97.65, 90.00 degrees
Sites, in units of the cell vectors:
Tb 0.044 0.750 0.088
Tb 0.956 0.250 0.912
Tb 0.763 0.250 0.526
Tb 0.237 0.750 0.474
Tm 0.848 0.750 0.696
Tm 0.152 0.250 0.304
Mg 0.445 0.750 0.890
Mg 0.639 0.750 0.280
Mg 0.361 0.250 0.720
Mg 0.555 0.250 0.110

Calculated values
The value obtained for the excess energy over the best structure of this formula in the dataset is 0 meV per atom. As for the volume: 280.1 Å³ per cell. For the total energy, the calculation gives -34.46 eV for the cell shown.


# 15
A relaxed structure of KRh. Source: the Alexandria database, functional PBE.

Cell lengths 3.652, 3.652, 3.652 Å; angles 90.00, 90.00, 90.00 degrees
Sites, in units of the cell vectors:
K 0.000 0.000 0.000
Rh 0.500 0.500 0.500

Calculated values
The value obtained for the excess energy over the best structure of this formula in the dataset is 812 meV per atom. As for the volume: 48.7 Å³ per cell. For the total energy, the calculation gives -6.09 eV for the cell shown.


# 16
A relaxed structure of Hf2ZrInI. Source: the Alexandria database, functional PBE.

Cell lengths 5.306, 5.575, 5.306 Å; angles 90.00, 90.00, 90.00 degrees
Sites, in units of the cell vectors:
Hf 0.000 0.000 0.500
Hf 0.500 0.000 0.000
I 0.000 0.500 0.000
Zr 0.500 0.500 0.500
In 0.000 0.000 0.000

Calculated values
As for the volume: 156.9 Å³ per cell. For the total energy, the calculation gives -25.39 eV for the cell shown. The energy relative to the elements, uncorrected comes out at 1.4704 eV/atom.


# 17
A relaxed structure of Ca4Ac3. Source: the Alexandria database, functional PBE.

Cell lengths 3.796, 9.683, 10.157 Å; angles 122.25, 100.77, 90.00 degrees
Sites, in units of the cell vectors:
Ac 0.777 0.698 0.554
Ac 0.000 0.000 0.000
Ac 0.223 0.302 0.446
Ca 0.363 0.131 0.725
Ca 0.637 0.869 0.275
Ca 0.075 0.448 0.151
Ca 0.925 0.552 0.849

Calculated values
The value obtained for the excess energy over the best structure of this formula in the dataset is 99 meV per atom. As for the volume: 307.9 Å³ per cell. For the total energy, the calculation gives -19.46 eV for the cell shown.


# 18
A relaxed structure of CaAcSiAg. Source: the Alexandria database, functional PBE.

Cell lengths 5.361, 5.361, 5.361 Å; angles 60.00, 60.00, 60.00 degrees
Sites, in units of the cell vectors:
Ca 0.000 0.000 0.000
Ag 0.750 0.750 0.750
Si 0.250 0.250 0.250
Ac 0.500 0.500 0.500

Calculated values
As for the volume: 109.0 Å³ per cell. For the total energy, the calculation gives -15.94 eV for the cell shown. The energy relative to the elements, uncorrected comes out at -0.3888 eV/atom.


# 19
A relaxed structure of ZnSb2ClO. Source: the Alexandria database, functional PBE.

Cell lengths 5.181, 4.650, 5.181 Å; angles 90.00, 90.00, 90.00 degrees
Sites, in units of the cell vectors:
Cl 0.000 0.500 0.000
Zn 0.000 0.000 0.000
Sb 0.000 0.000 0.500
Sb 0.500 0.000 0.000
O 0.500 0.500 0.500

Calculated values
As for the volume: 124.8 Å³ per cell. For the total energy, the calculation gives -13.11 eV for the cell shown. The energy relative to the elements, uncorrected comes out at 0.6429 eV/atom.


# 20
A relaxed structure of AcPrB2O6. Source: the Alexandria database, functional PBE.

Cell lengths 6.566, 6.566, 6.812 Å; angles 102.92, 102.92, 99.00 degrees
Sites, in units of the cell vectors:
Pr 0.598 0.402 0.250
Pr 0.402 0.598 0.750
B 0.643 0.870 0.281
B 0.870 0.643 0.781
B 0.357 0.130 0.719
B 0.130 0.357 0.219
O 0.518 0.281 0.875
O 0.613 0.074 0.352
O 0.926 0.387 0.148
O 0.074 0.613 0.852
O 0.817 0.803 0.383
O 0.719 0.482 0.625
O 0.387 0.926 0.648
O 0.197 0.183 0.117
O 0.803 0.817 0.883
O 0.183 0.197 0.617
O 0.482 0.719 0.125
O 0.281 0.518 0.375
Ac 0.154 0.846 0.250
Ac 0.846 0.154 0.750

Calculated values
As for the volume: 272.4 Å³ per cell. For the total energy, the calculation gives -165.10 eV for the cell shown. The energy relative to the elements, uncorrected comes out at -3.0557 eV/atom.


# 21
A relaxed structure of Dy2CdHg2. Source: the Alexandria database, functional PBE.

Cell lengths 3.942, 8.069, 8.069 Å; angles 90.00, 90.00, 90.00 degrees
Sites, in units of the cell vectors:
Hg 0.000 0.632 0.132
Hg 0.000 0.868 0.632
Hg 0.000 0.132 0.368
Hg 0.000 0.368 0.868
Cd 0.000 0.500 0.500
Cd 0.000 0.000 0.000
Dy 0.500 0.668 0.832
Dy 0.500 0.168 0.668
Dy 0.500 0.332 0.168
Dy 0.500 0.832 0.332

Calculated values
As for the volume: 256.6 Å³ per cell. For the total energy, the calculation gives -25.47 eV for the cell shown.


# 22
A relaxed structure of SrLi2Co. Source: the Alexandria database, functional PBE.

Cell lengths 4.965, 4.286, 4.286 Å; angles 90.00, 90.00, 90.00 degrees
Sites, in units of the cell vectors:
Li 0.000 0.500 0.500
Li 0.000 0.000 0.000
Sr 0.500 0.500 0.000
Co 0.500 0.000 0.500

Calculated values
The value obtained for the excess energy over the best structure of this formula in the dataset is 100 meV per atom. As for the volume: 91.2 Å³ per cell. For the total energy, the calculation gives -10.85 eV for the cell shown.


# 23
A relaxed structure of KTe2Se4. Source: the Alexandria database, functional PBE.

Cell lengths 7.971, 7.983, 9.692 Å; angles 122.20, 114.63, 89.77 degrees
Sites, in units of the cell vectors:
Te 0.125 0.375 0.750
Te 0.625 0.375 0.750
Te 0.625 0.875 0.250
Te 0.625 0.375 0.250
Se 0.428 0.685 0.858
Se 0.891 0.631 0.784
Se 0.359 0.119 0.716
Se 0.822 0.065 0.642
Se 0.428 0.185 0.341
Se 0.914 0.184 0.343
Se 0.822 0.565 0.159
Se 0.336 0.566 0.157
K 0.244 0.642 0.478
K 0.006 0.108 0.022

Calculated values
The value obtained for the excess energy over the best structure of this formula in the dataset is 23 meV per atom. As for the volume: 454.9 Å³ per cell. For the total energy, the calculation gives -45.91 eV for the cell shown. The energy relative to the elements, uncorrected comes out at -0.2337 eV/atom.


These records have size of the total moment values of 1.76, 0.00, 0.00, 0.00, 0.79, 0.00, 0.00, 0.00, 1.83, 0.00, 0.00, 0.00, 0.00, 0.00, 0.63, 0.00, 0.00, 0.00, 0.00, 0.00, 0.00, 1.19, 0.00 μB per cell, in the order they appear.